Below is a geometry-optimized K2YReN4 structure, with properties calculated at the PBE level.

Output
**E_form (uncorrected)**: -636 meV/atom
**Crystal system**: tetragonal
**VASP energy**: -59.50 eV per cell
**Size of the total moment**: 0.0 μB/cell

Cell: 5.966 5.966 6.176 Å, 118.89 118.89 90.00°
Fractional positions:
1 K 0.236 0.236 0.472
2 K 0.486 0.986 0.972
3 Re 0.736 0.736 0.472
4 Y 0.986 0.486 0.972
5 N 0.405 0.755 0.242
6 N 0.717 0.634 0.701
7 N 0.838 0.488 0.242
8 N 0.984 0.067 0.701

---

Below is a geometry-optimized K2ZrReN4 structure, with properties calculated at the PBE level.

Output
**E_form (uncorrected)**: -535 meV/atom
**Crystal system**: orthorhombic
**VASP energy**: -121.54 eV per cell
**Size of the total moment**: 0.0 μB/cell

Cell: 6.234 6.898 6.985 Å, 90.00 90.00 90.00°
Fractional positions:
1 N 0.237 0.009 0.000
2 N 0.000 0.313 0.772
3 N 0.000 0.313 0.228
4 N 0.500 0.687 0.728
5 N 0.737 0.991 0.500
6 N 0.763 0.009 0.000
7 N 0.500 0.687 0.272
8 N 0.263 0.991 0.500
9 Zr 0.000 0.170 0.500
10 Zr 0.500 0.830 0.000
11 Re 0.500 0.829 0.500
12 Re 0.000 0.171 0.000
13 K 0.500 0.282 0.249
14 K 0.000 0.718 0.251
15 K 0.000 0.718 0.749
16 K 0.500 0.282 0.751

---

Below is a geometry-optimized KRh2N structure, with properties calculated at the PBE level.

Output
**E_form (uncorrected)**: 220 meV/atom
**Crystal system**: tetragonal
**VASP energy**: -46.49 eV per cell
**Size of the total moment**: 0.0 μB/cell

Cell: 6.215 6.215 6.228 Å, 60.06 60.06 90.00°
Fractional positions:
1 Rh 0.376 0.625 0.250
2 Rh 0.875 0.624 0.750
3 Rh 0.374 0.125 0.250
4 Rh 0.375 0.626 0.750
5 N 0.500 0.500 0.000
6 N 0.250 0.750 0.500
7 K 0.000 0.000 0.000
8 K 0.750 0.250 0.500

---

Below is a geometry-optimized KRhN structure, with properties calculated at the PBE level.

Output
**E_form (uncorrected)**: 369 meV/atom
**Crystal system**: cubic
**VASP energy**: -62.66 eV per cell
**Size of the total moment**: 0.0 μB/cell

Cell: 5.817 5.817 5.817 Å, 90.00 90.00 90.00°
Fractional positions:
1 Rh 0.356 0.644 0.144
2 Rh 0.144 0.356 0.644
3 Rh 0.644 0.144 0.356
4 Rh 0.856 0.856 0.856
5 N 0.097 0.597 0.903
6 N 0.597 0.903 0.097
7 N 0.403 0.403 0.403
8 N 0.903 0.097 0.597
9 K 0.360 0.860 0.640
10 K 0.860 0.640 0.360
11 K 0.140 0.140 0.140
12 K 0.640 0.360 0.860

---

Below is a geometry-optimized KRhN structure, with properties calculated at the PBE level.

Output
**E_form (uncorrected)**: 192 meV/atom
**Crystal system**: trigonal
**VASP energy**: -16.20 eV per cell
**Size of the total moment**: 0.0 μB/cell

Cell: 5.634 3.261 3.261 Å, 120.00 90.00 90.00°
Fractional positions:
1 K 0.719 0.333 0.667
2 N 0.083 0.667 0.333
3 Rh 0.198 0.000 0.000

---

Below is a geometry-optimized KRhSN2 structure, with properties calculated at the PBE level.

Output
**E_form (uncorrected)**: 800 meV/atom
**Crystal system**: tetragonal
**VASP energy**: -25.23 eV per cell
**Size of the total moment**: 0.3 μB/cell

Cell: 3.951 3.951 5.180 Å, 90.00 90.00 90.00°
Each line ends with the local moment (μB).
Fractional positions:
1 N 0.000 0.500 0.000  0.11
2 N 0.500 0.000 0.000  0.11
3 K 0.500 0.500 0.500  0.00
4 Rh 0.000 0.000 0.000  -0.03
5 S 0.000 0.000 0.500  0.01